TmZnAu, relaxed, DFT PBE; volume = 61 Å³/cell; energy of formation = -63 kJ/mol of atoms; final energy = -3.656 eV/atom
1.0
3.445 0.000 0.000
0.000 4.524 0.000
0.000 -2.262 3.918
Zn Au Tm
1 1 1
Direct
0.166 0.000 0.000
0.167 0.333 0.667
0.667 0.667 0.333